# 1
The following is a DFT calculation (PBE) of Ba2Bi2P after structural relaxation.

## Properties
DFT total energy (eV per formula unit): -19.5
Mass density (Mg/m³): 6.69
Magnetization (μB per formula unit): 0.00
Calculated volume (Å³/cell): 359
DFT formation energy (eV/atom): -0.4930

a = 8.260 Å, b = 8.260 Å, c = 5.265 Å
α = 90.00°, β = 90.00°, γ = 90.00°
Space group P4/mbm (No. 127)
One atom of each set of equivalent atoms:
Ba  0.174  0.326  0.000 [4 per cell]
Bi  0.136  0.636  0.500 [4 per cell]
P  0.000  0.000  0.500 [2 per cell]

# 2
The following is a DFT calculation (PBE) of Th2GeRh6 after structural relaxation.

## Properties
DFT total energy (eV per formula unit): -70.2
Mass density (Mg/m³): 11.81
Magnetization (μB per formula unit): 0.00
Energy above the most stable polymorph in this dataset (kJ/mol of formula units): 9
Calculated volume (Å³/cell): 325
DFT formation energy (eV/atom): -0.7347

a = 9.859 Å, b = 5.693 Å, c = 5.783 Å
α = 90.00°, β = 90.06°, γ = 90.00°
Space group C2/m (No. 12)
One atom of each set of equivalent atoms:
Th  0.167  0.000  0.310 [4 per cell]
Ge  0.000  0.500  0.500 [2 per cell]
Rh  0.087  0.241  0.809 [8 per cell]
Rh  0.173  0.500  0.192 [4 per cell]

# 3
The following is a DFT calculation (PBE) of TlPI2 after structural relaxation.

## Properties
DFT total energy (eV per formula unit): -9.0
Mass density (Mg/m³): 6.21
Magnetization (μB per formula unit): 1.95
Energy above the most stable polymorph in this dataset (kJ/mol of formula units): 103
Calculated volume (Å³/cell): 523
Formation energy (no corrections) (eV/f.u.): 1.9

a = 8.057 Å, b = 8.057 Å, c = 8.057 Å
α = 90.00°, β = 90.00°, γ = 90.00°
Space group Fm-3m (No. 225)
One atom of each set of equivalent atoms:
Tl  0.000  0.000  0.000 [4 per cell]
P  0.000  0.000  0.500 [4 per cell]
I  0.250  0.250  0.250 [8 per cell]

# 4
The following is a DFT calculation (PBE) of BaLa2Nb after structural relaxation.

## Properties
DFT total energy (eV per formula unit): -19.2
Mass density (Mg/m³): 5.50
Magnetization (μB per formula unit): 0.00
Energy above the most stable polymorph in this dataset (kJ/mol of formula units): 27
Calculated volume (Å³/cell): 614
DFT formation energy (eV/atom): 0.6694

a = 8.998 Å, b = 8.998 Å, c = 7.582 Å
α = 90.00°, β = 90.00°, γ = 90.00°
Space group I-42d (No. 122)
One atom of each set of equivalent atoms:
Ba  0.000  0.000  0.000 [4 per cell]
La  0.132  0.250  0.625 [8 per cell]
Nb  0.000  0.000  0.500 [4 per cell]

# 5
The following is a DFT calculation (PBE) of CrCuPtAu after structural relaxation.

## Properties
DFT total energy (eV per formula unit): -23.0
Mass density (Mg/m³): 13.92
Magnetization (μB per formula unit): 3.61
Calculated volume (Å³/cell): 242
DFT formation energy (eV/atom): -0.0015

a = 6.234 Å, b = 6.234 Å, c = 6.234 Å
α = 90.00°, β = 90.00°, γ = 90.00°
Space group F-43m (No. 216)
One atom of each set of equivalent atoms:
Cr  0.000  0.000  0.000 [4 per cell]
Cu  0.000  0.000  0.500 [4 per cell]
Pt  0.250  0.250  0.750 [4 per cell]
Au  0.250  0.250  0.250 [4 per cell]

# 6
The following is a DFT calculation (PBE) of LaRh after structural relaxation.

## Properties
DFT total energy (eV per formula unit): -12.4
Mass density (Mg/m³): 5.09
Magnetization (μB per formula unit): 0.00
Calculated volume (Å³/cell): 474
DFT formation energy (eV/atom): -0.0675

a = 7.795 Å, b = 7.795 Å, c = 7.795 Å
α = 90.00°, β = 90.00°, γ = 90.00°
Space group Pm-3n (No. 223)
One atom of each set of equivalent atoms:
La  0.000  0.250  0.500 [6 per cell]
Rh  0.000  0.500  0.250 [6 per cell]